Record 1
## Rb2BaReO6 (GGA-PBE)

Data for a relaxed structure of Rb2BaReO6. Values from VASP.

```
&SYSTEM
  ibrav = 0, nat = 10, ntyp = 4
/
ATOMIC_SPECIES
Rb 85.47 Rb.upf
Ba 137.33 Ba.upf
Re 186.21 Re.upf
O 16.00 O.upf
CELL_PARAMETERS angstrom
6.368 0.000 0.000
3.181 5.566 0.000
3.184 1.855 5.256
ATOMIC_POSITIONS angstrom
Rb 0.000 0.000 0.000
Rb 6.362 3.716 2.618
Ba 9.549 5.535 3.984
Re 3.178 1.867 1.296
O 1.693 2.492 0.413
O 3.184 3.380 2.408
O 5.251 6.479 2.666
O 7.494 6.484 2.647
O 3.171 0.305 0.256
O 4.644 2.496 0.388
```

***

Record 2
## RbBaRhO4 (GGA-PBE)

Data for a relaxed structure of RbBaRhO4. Values from VASP.

```
&SYSTEM
  ibrav = 0, nat = 14, ntyp = 4
/
ATOMIC_SPECIES
Rb 85.47 Rb.upf
Ba 137.33 Ba.upf
Rh 102.91 Rh.upf
O 16.00 O.upf
CELL_PARAMETERS angstrom
6.516 0.000 0.000
0.000 5.910 0.000
-1.728 0.000 7.871
ATOMIC_POSITIONS angstrom
Rb 0.825 1.477 3.621
Rb 3.963 4.432 4.250
Ba 0.170 1.477 7.524
Ba 4.618 4.432 0.347
Rh 1.311 4.432 1.580
Rh 3.477 1.477 6.291
O -0.135 4.432 2.671
O -0.798 4.432 7.627
O 2.632 3.086 1.738
O 2.632 5.779 1.738
O 2.156 0.131 6.132
O 2.156 2.824 6.132
O 5.586 1.477 0.244
O 4.923 1.477 5.200
```

***

Record 3
## Rb2BaRhO4 (GGA-PBE)

Data for a relaxed structure of Rb2BaRhO4. Values from VASP.

```
&SYSTEM
  ibrav = 0, nat = 8, ntyp = 4
/
ATOMIC_SPECIES
Rb 85.47 Rb.upf
Ba 137.33 Ba.upf
Rh 102.91 Rh.upf
O 16.00 O.upf
CELL_PARAMETERS angstrom
-3.278 3.278 3.718
3.278 -3.278 3.718
3.278 3.278 -3.718
ATOMIC_POSITIONS angstrom
Rb 0.000 0.000 0.000
Rb 0.000 3.278 1.859
Ba 3.278 0.000 1.859
Rh 0.000 0.000 3.718
O 1.486 -1.221 3.506
O 2.057 1.792 0.212
O 1.792 4.499 -0.212
O 1.221 1.486 3.930
```

***

Record 4
## Rb3Ba3RhO8 (GGA-PBE)

Data for a relaxed structure of Rb3Ba3RhO8. Values from VASP.

```
&SYSTEM
  ibrav = 0, nat = 15, ntyp = 4
/
ATOMIC_SPECIES
Rb 85.47 Rb.upf
Ba 137.33 Ba.upf
Rh 102.91 Rh.upf
O 16.00 O.upf
CELL_PARAMETERS angstrom
6.571 -3.796 0.000
6.571 3.796 0.000
-4.386 0.000 6.600
ATOMIC_POSITIONS angstrom
Rb 0.000 0.000 0.000
Rb 3.286 1.898 0.000
Rb 3.286 -1.898 0.000
Ba 1.093 1.898 3.300
Ba 1.093 -1.898 3.300
Ba 4.378 0.000 3.300
Rh -2.193 0.000 3.300
O -0.536 0.000 4.421
O 3.550 2.361 4.421
O 5.207 2.361 2.180
O 2.190 0.000 1.912
O 6.567 0.000 4.688
O 3.550 -2.361 4.421
O 5.207 -2.361 2.180
O 9.293 0.000 2.179
```

***

Record 5
## RbBa2RhO5 (GGA-PBE)

Data for a relaxed structure of RbBa2RhO5. Values from VASP.

```
&SYSTEM
  ibrav = 0, nat = 9, ntyp = 4
/
ATOMIC_SPECIES
Rb 85.47 Rb.upf
Ba 137.33 Ba.upf
Rh 102.91 Rh.upf
O 16.00 O.upf
CELL_PARAMETERS angstrom
-2.049 3.267 6.032
2.049 -3.267 6.032
2.049 3.267 -6.032
ATOMIC_POSITIONS angstrom
Rb 0.000 0.000 0.000
Ba 2.049 0.000 3.389
Ba 0.000 3.267 2.643
Rh 0.000 0.000 6.032
O 2.049 1.887 -1.480
O 2.049 1.887 1.480
O 0.000 3.267 0.000
O 0.000 1.380 4.552
O 0.000 1.380 7.512
```

***

Record 6
## RbBa2RhO6 (GGA-PBE)

Data for a relaxed structure of RbBa2RhO6. Values from VASP.

```
&SYSTEM
  ibrav = 0, nat = 20, ntyp = 4
/
ATOMIC_SPECIES
Rb 85.47 Rb.upf
Ba 137.33 Ba.upf
Rh 102.91 Rh.upf
O 16.00 O.upf
CELL_PARAMETERS angstrom
6.142 0.000 0.000
0.000 6.621 0.000
-6.027 0.000 8.836
ATOMIC_POSITIONS angstrom
Rb 0.000 0.000 0.000
Rb -3.013 3.310 4.418
Ba -3.101 0.384 6.561
Ba -0.088 2.926 2.143
Ba 0.203 3.695 6.694
Ba 3.217 6.236 2.275
Rh 0.058 0.000 4.418
Rh 3.071 3.310 0.000
O -1.552 1.034 4.074
O -4.565 2.277 8.493
O -3.864 4.934 8.175
O -0.851 4.997 3.757
O 0.698 0.406 2.619
O -2.316 2.905 7.037
O 2.431 3.716 1.799
O -0.582 6.215 6.218
O 0.967 1.624 5.079
O 3.980 1.686 0.661
O 4.681 4.344 0.344
O 1.667 5.587 4.762
```

***

Record 7
## Rb2BaRuO4 (GGA-PBE)

Data for a relaxed structure of Rb2BaRuO4. Values from VASP.

```
&SYSTEM
  ibrav = 0, nat = 8, ntyp = 4
/
ATOMIC_SPECIES
Rb 85.47 Rb.upf
Ba 137.33 Ba.upf
Ru 101.07 Ru.upf
O 16.00 O.upf
CELL_PARAMETERS angstrom
-3.264 3.264 3.762
3.264 -3.264 3.762
3.264 3.264 -3.762
ATOMIC_POSITIONS angstrom
Rb 0.000 0.000 0.000
Rb 0.000 3.264 1.881
Ba 0.000 0.000 3.762
Ru 3.264 0.000 1.881
O 1.774 -1.181 2.071
O 2.083 1.489 1.692
O 1.489 4.445 -1.692
O 1.181 1.774 5.454
```

***

Record 8
## Rb3Ba3RuO8 (GGA-PBE)

Data for a relaxed structure of Rb3Ba3RuO8. Values from VASP.

```
&SYSTEM
  ibrav = 0, nat = 15, ntyp = 4
/
ATOMIC_SPECIES
Rb 85.47 Rb.upf
Ba 137.33 Ba.upf
Ru 101.07 Ru.upf
O 16.00 O.upf
CELL_PARAMETERS angstrom
3.799 2.194 6.602
-3.799 2.194 6.602
0.000 -4.387 6.602
ATOMIC_POSITIONS angstrom
Rb -1.900 -1.097 6.602
Rb -1.900 1.097 13.204
Rb 0.000 2.194 6.602
Ba -3.799 0.000 9.903
Ba -1.900 1.097 3.301
Ba 1.900 1.097 3.301
Ru 0.000 0.000 9.903
O 0.000 0.000 4.679
O -1.403 -0.810 11.005
O 0.000 -1.620 8.801
O -1.403 0.810 8.801
O 1.403 -0.810 11.005
O 0.000 1.620 11.005
O 1.403 0.810 8.801
O 0.000 0.000 15.127
```

***

no.,total moment (μB per cell),final energy (eV per atom)
1,1.1,-6.42
2,0.0,-5.65
3,3.0,-5.29
4,3.1,-5.24
5,2.4,-5.77
6,7.0,-5.67
7,2.0,-5.61
8,1.4,-5.51